# 1
An optimized crystal structure of ThMnZn10, computed with PBE.

## Properties
- Size of the total moment: 4.26 μB/cell
- Energy of formation from the pure elements: -39 kJ/mol of formula units
- Electronic total energy: -29.731 eV/f.u.
- SG: Pmmm

Cell lengths 4.306, 5.147, 9.182 Å; angles 90.00, 90.00, 90.00 degrees
Positions (direct):
Zn1 0.500 0.756 0.754
Mn1 0.000 0.500 0.500
Zn2 0.500 0.244 0.246
Zn3 0.000 0.500 0.798
Zn4 0.500 0.756 0.246
Th1 0.000 0.000 0.000
Zn5 0.500 0.000 0.500
Zn6 0.000 0.500 0.202
Zn7 0.500 0.500 0.000
Zn8 0.000 0.000 0.649
Zn9 0.000 0.000 0.351
Zn10 0.500 0.244 0.754

=====

# 2
An optimized crystal structure of VAg2Au, computed with PBE.

## Properties
- Size of the total moment: 0.00 μB/cell
- Energy of formation from the pure elements: 153 kJ/mol of formula units
- Electronic total energy: -16.511 eV/f.u.
- SG: R-3m
- Excess energy over the best structure of this formula in the dataset: 99 meV per atom

Cell lengths 2.789, 2.789, 10.562 Å; angles 82.41, 82.41, 60.00 degrees
Positions (direct):
Ag1 0.084 0.084 0.749
Ag2 0.916 0.916 0.251
V1 0.000 0.000 0.000
Au1 0.500 0.500 0.500

=====

# 3
An optimized crystal structure of CsPmBi4, computed with PBE.

## Properties
- Size of the total moment: 0.00 μB/cell
- Energy of formation from the pure elements: -93 kJ/mol of formula units
- Electronic total energy: -22.091 eV/f.u.
- SG: F-43m

Cell lengths 6.728, 6.728, 6.728 Å; angles 60.00, 60.00, 60.00 degrees
Positions (direct):
Bi1 0.626 0.626 0.626
Cs1 0.250 0.250 0.250
Pm1 0.000 0.000 0.000
Bi2 0.626 0.626 0.122
Bi3 0.122 0.626 0.626
Bi4 0.626 0.122 0.626

=====

# 4
An optimized crystal structure of VGaAg2Ge, computed with PBE.

## Properties
- Size of the total moment: 0.00 μB/cell
- Energy of formation from the pure elements: 408 kJ/mol of formula units
- Electronic total energy: -18.234 eV/f.u.
- SG: P4/mmm

Cell lengths 4.711, 4.772, 4.711 Å; angles 90.00, 90.00, 90.00 degrees
Positions (direct):
Ge1 0.500 0.500 0.500
Ga1 0.000 0.000 0.000
Ag1 0.000 0.000 0.500
V1 0.000 0.500 0.000
Ag2 0.500 0.000 0.000

=====

# 5
An optimized crystal structure of Mg2C, computed with PBE.

## Properties
- Size of the total moment: 0.00 μB/cell
- Energy of formation from the pure elements: 131 kJ/mol of formula units
- Electronic total energy: -11.058 eV/f.u.
- SG: P-62m
- Excess energy over the best structure of this formula in the dataset: 202 meV per atom

Cell lengths 6.078, 6.078, 3.641 Å; angles 90.00, 90.00, 120.00 degrees
Positions (direct):
Mg1 0.596 0.000 0.500
C1 0.333 0.667 0.000
Mg2 0.404 0.404 0.500
Mg3 0.265 0.000 0.000
Mg4 0.735 0.735 0.000
Mg5 0.000 0.265 0.000
C2 0.667 0.333 0.000
Mg6 0.000 0.596 0.500
C3 0.000 0.000 0.500

=====

# 6
An optimized crystal structure of GeTe2PdI, computed with PBE.

## Properties
- Size of the total moment: 0.76 μB/cell
- Electronic total energy: -14.161 eV/f.u.
- SG: P4/mmm
- E_form (uncorrected): 697 meV/atom
- Excess energy over the best structure of this formula in the dataset: 331 meV per atom

Cell lengths 5.405, 5.405, 5.616 Å; angles 90.00, 90.00, 90.00 degrees
Positions (direct):
Te1 0.500 0.000 0.000
I1 0.000 0.000 0.500
Ge1 0.000 0.000 0.000
Pd1 0.500 0.500 0.500
Te2 0.000 0.500 0.000

=====

# 7
An optimized crystal structure of LaTlCo2, computed with PBE.

## Properties
- Size of the total moment: 1.60 μB/cell
- Energy of formation from the pure elements: 123 kJ/mol of formula units
- Electronic total energy: -20.232 eV/f.u.
- SG: P4/mmm
- Excess energy over the best structure of this formula in the dataset: 337 meV per atom

Cell lengths 3.437, 3.445, 7.419 Å; angles 62.32, 90.00, 90.00 degrees
Positions (direct):
Co1 0.000 0.454 0.547
Tl1 0.500 0.750 0.750
La1 0.500 0.250 0.250
Co2 0.000 0.046 0.953

=====

# 8
An optimized crystal structure of Zr2ZnIn, computed with PBE.

## Properties
- Size of the total moment: 0.00 μB/cell
- Energy of formation from the pure elements: -107 kJ/mol of formula units
- Electronic total energy: -22.215 eV/f.u.
- SG: P4/mmm

Cell lengths 3.074, 3.074, 8.634 Å; angles 90.00, 90.00, 90.00 degrees
Positions (direct):
In1 0.500 0.500 0.500
Zn1 0.500 0.500 0.000
Zr1 0.000 0.000 0.227
Zr2 0.000 0.000 0.773

=====

# 9
An optimized crystal structure of CrCdB2I, computed with PBE.

## Properties
- Size of the total moment: 4.26 μB/cell
- Electronic total energy: -17.075 eV/f.u.
- SG: P4/mmm
- E_form (uncorrected): 1674 meV/atom

Cell lengths 4.261, 6.018, 4.261 Å; angles 90.00, 90.00, 90.00 degrees
Positions (direct):
B1 0.500 0.000 0.000
Cr1 0.000 0.500 0.000
Cd1 0.000 0.000 0.000
I1 0.500 0.500 0.500
B2 0.000 0.000 0.500

=====

# 10
An optimized crystal structure of RbTeP2Cl, computed with PBE.

## Properties
- Size of the total moment: 0.00 μB/cell
- Electronic total energy: -16.075 eV/f.u.
- SG: P4/mmm
- E_form (uncorrected): 140 meV/atom
- Excess energy over the best structure of this formula in the dataset: 0 meV per atom

Cell lengths 5.045, 5.045, 6.306 Å; angles 90.00, 90.00, 90.00 degrees
Positions (direct):
P1 0.000 0.500 0.000
Cl1 0.000 0.000 0.500
Te1 0.000 0.000 0.000
Rb1 0.500 0.500 0.500
P2 0.500 0.000 0.000

=====

# 11
An optimized crystal structure of NdSmCo2, computed with PBE.

## Properties
- Size of the total moment: 1.68 μB/cell
- Energy of formation from the pure elements: -31 kJ/mol of formula units
- Electronic total energy: -24.019 eV/f.u.
- SG: Pmc2_1
- Excess energy over the best structure of this formula in the dataset: 0 meV per atom

Cell lengths 3.948, 5.652, 7.832 Å; angles 90.00, 90.00, 90.00 degrees
Positions (direct):
Nd1 0.000 0.860 0.177
Co1 0.500 0.168 0.973
Sm1 0.500 0.640 0.822
Sm2 0.500 0.360 0.322
Co2 0.000 0.657 0.528
Co3 0.500 0.832 0.473
Co4 0.000 0.343 0.028
Nd2 0.000 0.140 0.677

=====

# 12
An optimized crystal structure of La2SmAs4Pt3, computed with PBE.

## Properties
- Size of the total moment: 0.00 μB/cell
- Energy of formation from the pure elements: -977 kJ/mol of formula units
- Electronic total energy: -61.425 eV/f.u.
- SG: P-4m2

Cell lengths 4.510, 4.510, 10.876 Å; angles 90.00, 90.00, 90.00 degrees
Positions (direct):
Pt1 0.000 0.000 0.500
As1 0.500 0.000 0.659
Pt2 0.000 0.500 0.109
Pt3 0.500 0.000 0.891
As2 0.000 0.000 0.000
As3 0.500 0.500 0.000
La1 0.000 0.500 0.780
La2 0.500 0.000 0.220
As4 0.000 0.500 0.341
Sm1 0.500 0.500 0.500